# PBE YBeIr2, optimized geometry
data_YBeIr2
_cell_length_a 3.057
_cell_length_b 3.704
_cell_length_c 5.876
_cell_angle_alpha 90.00
_cell_angle_beta 103.68
_cell_angle_gamma 90.00
_symmetry_space_group_name_H-M 'P 1 2/m 1'
_symmetry_Int_Tables_number 10
_symmetry_space_group_name_Hall '-P 2y'
loop_
_atom_site_label
_atom_site_type_symbol
_atom_site_fract_x
_atom_site_fract_y
_atom_site_fract_z
Y1 Y 0.000 0.000 0.000
Be1 Be 0.000 0.000 0.500
Ir1 Ir 0.377 0.500 0.701
# Calculated density (g/cm³): 12.4
# E_tot (eV for the cell shown): -29.38
# ΔH_f (0 K) (eV/atom): -0.37


# PBE YBeIr2, optimized geometry
data_YBeIr2
_cell_length_a 3.122
_cell_length_b 3.122
_cell_length_c 6.433
_cell_angle_alpha 90.00
_cell_angle_beta 90.00
_cell_angle_gamma 90.00
_symmetry_space_group_name_H-M 'P 4/m m m'
_symmetry_Int_Tables_number 123
_symmetry_space_group_name_Hall '-P 4 2'
loop_
_atom_site_label
_atom_site_type_symbol
_atom_site_fract_x
_atom_site_fract_y
_atom_site_fract_z
Y1 Y 0.000 0.000 0.000
Be1 Be 0.000 0.000 0.500
Ir1 Ir 0.500 0.500 0.296
# Calculated density (g/cm³): 12.8
# E_tot (eV for the cell shown): -29.60
# ΔH_f (0 K) (eV/atom): -0.42


# PBE Y2BeIr, optimized geometry
data_Y2BeIr
_cell_length_a 4.142
_cell_length_b 4.142
_cell_length_c 9.304
_cell_angle_alpha 90.00
_cell_angle_beta 90.00
_cell_angle_gamma 90.00
_symmetry_space_group_name_H-M 'I -4 m 2'
_symmetry_Int_Tables_number 119
_symmetry_space_group_name_Hall 'I -4 -2'
loop_
_atom_site_label
_atom_site_type_symbol
_atom_site_fract_x
_atom_site_fract_y
_atom_site_fract_z
Y1 Y 0.000 0.000 0.000
Y2 Y 0.000 0.500 0.250
Be1 Be 0.000 0.500 0.750
Ir1 Ir 0.000 0.000 0.500
# Calculated density (g/cm³): 7.9
# E_tot (eV for the cell shown): -52.02
# ΔH_f (0 K) (eV/atom): -0.12


# PBE YBeIr2, optimized geometry
data_YBeIr2
_cell_length_a 3.065
_cell_length_b 4.946
_cell_length_c 8.347
_cell_angle_alpha 90.00
_cell_angle_beta 90.00
_cell_angle_gamma 90.00
_symmetry_space_group_name_H-M 'I m m m'
_symmetry_Int_Tables_number 71
_symmetry_space_group_name_Hall '-I 2 2'
loop_
_atom_site_label
_atom_site_type_symbol
_atom_site_fract_x
_atom_site_fract_y
_atom_site_fract_z
Y1 Y 0.000 0.000 0.000
Be1 Be 0.000 0.000 0.500
Ir1 Ir 0.000 0.500 0.208
# Calculated density (g/cm³): 12.7
# E_tot (eV for the cell shown): -58.10
# ΔH_f (0 K) (eV/atom): -0.28


# PBE YBeIr2, optimized geometry
data_YBeIr2
_cell_length_a 4.145
_cell_length_b 4.145
_cell_length_c 3.718
_cell_angle_alpha 90.00
_cell_angle_beta 90.00
_cell_angle_gamma 90.00
_symmetry_space_group_name_H-M 'P 4/m m m'
_symmetry_Int_Tables_number 123
_symmetry_space_group_name_Hall '-P 4 2'
loop_
_atom_site_label
_atom_site_type_symbol
_atom_site_fract_x
_atom_site_fract_y
_atom_site_fract_z
Y1 Y 0.000 0.000 0.000
Be1 Be 0.500 0.500 0.000
Ir1 Ir 0.000 0.500 0.500
# Calculated density (g/cm³): 12.5
# E_tot (eV for the cell shown): -29.14
# ΔH_f (0 K) (eV/atom): -0.31


# PBE Y2BeIr, optimized geometry
data_Y2BeIr
_cell_length_a 4.019
_cell_length_b 4.019
_cell_length_c 5.673
_cell_angle_alpha 90.00
_cell_angle_beta 90.00
_cell_angle_gamma 90.00
_symmetry_space_group_name_H-M 'P 4 m m'
_symmetry_Int_Tables_number 99
_symmetry_space_group_name_Hall 'P 4 -2'
loop_
_atom_site_label
_atom_site_type_symbol
_atom_site_fract_x
_atom_site_fract_y
_atom_site_fract_z
Y1 Y 0.000 0.000 0.000
Y2 Y 0.500 0.500 0.427
Be1 Be 0.000 0.000 0.507
Ir1 Ir 0.500 0.500 0.935
# Calculated density (g/cm³): 6.9
# E_tot (eV for the cell shown): -25.70
# ΔH_f (0 K) (eV/atom): -0.05


# PBE YBe2Ir, optimized geometry
data_YBe2Ir
_cell_length_a 3.044
_cell_length_b 3.044
_cell_length_c 6.523
_cell_angle_alpha 90.00
_cell_angle_beta 90.00
_cell_angle_gamma 90.00
_symmetry_space_group_name_H-M 'P 4 m m'
_symmetry_Int_Tables_number 99
_symmetry_space_group_name_Hall 'P 4 -2'
loop_
_atom_site_label
_atom_site_type_symbol
_atom_site_fract_x
_atom_site_fract_y
_atom_site_fract_z
Y1 Y 0.000 0.000 0.000
Be1 Be 0.000 0.000 0.520
Be2 Be 0.500 0.500 0.334
Ir1 Ir 0.500 0.500 0.683
# Calculated density (g/cm³): 8.2
# E_tot (eV for the cell shown): -23.49
# ΔH_f (0 K) (eV/atom): -0.18


# PBE Y2BeIr, optimized geometry
data_Y2BeIr
_cell_length_a 7.502
_cell_length_b 7.502
_cell_length_c 6.444
_cell_angle_alpha 90.00
_cell_angle_beta 90.00
_cell_angle_gamma 90.00
_symmetry_space_group_name_H-M 'I -4 2 d'
_symmetry_Int_Tables_number 122
_symmetry_space_group_name_Hall 'I -4 2bw'
loop_
_atom_site_label
_atom_site_type_symbol
_atom_site_fract_x
_atom_site_fract_y
_atom_site_fract_z
Y1 Y 0.236 0.250 0.125
Be1 Be 0.000 0.000 0.500
Ir1 Ir 0.000 0.000 0.000
# Calculated density (g/cm³): 6.9
# E_tot (eV for the cell shown): -99.12
# ΔH_f (0 K) (eV/atom): 0.18


# PBE Y2BeIr, optimized geometry
data_Y2BeIr
_cell_length_a 3.972
_cell_length_b 4.044
_cell_length_c 10.697
_cell_angle_alpha 90.00
_cell_angle_beta 90.00
_cell_angle_gamma 90.00
_symmetry_space_group_name_H-M 'A m m 2'
_symmetry_Int_Tables_number 38
_symmetry_space_group_name_Hall 'A 2 -2'
loop_
_atom_site_label
_atom_site_type_symbol
_atom_site_fract_x
_atom_site_fract_y
_atom_site_fract_z
Y1 Y 0.000 0.000 0.000
Y2 Y 0.500 0.000 0.282
Be1 Be 0.000 0.000 0.694
Ir1 Ir 0.500 0.000 0.584
# Calculated density (g/cm³): 7.3
# E_tot (eV for the cell shown): -55.32
# ΔH_f (0 K) (eV/atom): -0.54


# PBE YBeIr2, optimized geometry
data_YBeIr2
_cell_length_a 6.402
_cell_length_b 6.402
_cell_length_c 6.402
_cell_angle_alpha 90.00
_cell_angle_beta 90.00
_cell_angle_gamma 90.00
_symmetry_space_group_name_H-M 'F -4 3 m'
_symmetry_Int_Tables_number 216
_symmetry_space_group_name_Hall 'F -4 2 3'
loop_
_atom_site_label
_atom_site_type_symbol
_atom_site_fract_x
_atom_site_fract_y
_atom_site_fract_z
Y1 Y 0.000 0.000 0.000
Be1 Be 0.250 0.250 0.250
Ir1 Ir 0.000 0.000 0.500
Ir2 Ir 0.250 0.250 0.750
# Calculated density (g/cm³): 12.2
# E_tot (eV for the cell shown): -111.67
# ΔH_f (0 K) (eV/atom): 0.00